one.
A relaxed structure of Fe2CuNi8, computed with PBE.

Magnetic moment: 10.19 Bohr magnetons per cell

a b c (Å): 3.5599 5.5744 6.6251
angles (deg): 104.42 105.58 90.00
With the nearest neighbours (Å) after each atom.
Positions (direct):
Ni  0.6817  0.9061  0.3633  3 Fe 2.47-2.52, 8 Ni 2.48-2.52, 1 Cu 2.51
Ni  0.3183  0.0939  0.6367  3 Fe 2.47-2.52, 8 Ni 2.48-2.52, 1 Cu 2.51
Ni  0.4102  0.5446  0.8204  9 Ni 2.47-2.53, 1 Cu 2.50, 2 Fe 2.51
Ni  0.7711  0.3633  0.5423  3 Fe 2.47-2.48, 9 Ni 2.49-2.53
Fe  0.8606  0.8140  0.7211  10 Ni 2.47-2.53, 2 Cu 2.54
Ni  0.2289  0.6367  0.4577  3 Fe 2.47-2.48, 9 Ni 2.49-2.53
Cu  0.5000  0.0000  0.0000  8 Ni 2.50-2.51, 4 Fe 2.54
Ni  0.0458  0.7288  0.0917  8 Ni 2.50-2.52, 2 Cu 2.50, 2 Fe 2.52-2.53
Ni  0.5898  0.4554  0.1796  9 Ni 2.47-2.53, 1 Cu 2.50, 2 Fe 2.51
Fe  0.1394  0.1860  0.2789  10 Ni 2.47-2.53, 2 Cu 2.54
Ni  0.9542  0.2712  0.9083  8 Ni 2.50-2.52, 2 Cu 2.50, 2 Fe 2.52-2.53

two.
A relaxed structure of Fe2CuNi8, computed with PBE.

Magnetic moment: 10.25 Bohr magnetons per cell

a b c (Å): 4.2800 6.4271 6.9757
angles (deg): 62.57 72.72 49.85
With the nearest neighbours (Å) after each atom.
Positions (direct):
Ni  0.5000  0.8029  0.3941  1 Cu 2.44, 6 Ni 2.44-2.59, 4 Fe 2.46-2.59
Ni  0.2240  0.6258  0.2699  7 Ni 2.33-2.59, 2 Fe 2.49-2.52
Ni  0.7760  0.1043  0.2699  7 Ni 2.33-2.59, 2 Fe 2.49-2.52
Fe  0.0000  0.3149  0.3702  12 Ni 2.46-2.65
Ni  0.2240  0.8957  0.7301  7 Ni 2.33-2.59, 2 Fe 2.49-2.52
Ni  0.2810  0.4626  0.0000  4 Ni 2.13-2.33
Ni  0.7760  0.3742  0.7301  7 Ni 2.33-2.59, 2 Fe 2.49-2.52
Ni  0.7190  0.5374  0.0000  4 Ni 2.13-2.33
Ni  0.5000  0.1971  0.6059  1 Cu 2.44, 6 Ni 2.44-2.59, 4 Fe 2.46-2.59
Cu  0.5000  0.0000  0.0000  4 Ni 2.44-2.48
Fe  0.0000  0.6851  0.6298  12 Ni 2.46-2.65

Which of them is the most stable? Correct choice: one.

one.
A relaxed structure of FeCuNi3, computed with PBE.

Magnetic moment: 4.81 Bohr magnetons per cell

a b c (Å): 4.2522 4.2522 4.2522
angles (deg): 90.00 90.00 90.00
With the nearest neighbours (Å) after each atom.
Positions (direct):
Cu  0.5000  0.5000  0.5000  12 Ni 3.01
Ni  0.5000  0.0000  0.0000  2 Fe 2.13
Ni  0.0000  0.0000  0.5000  2 Fe 2.13
Ni  0.0000  0.5000  0.0000  2 Fe 2.13
Fe  0.0000  0.0000  0.0000  6 Ni 2.13

two.
A relaxed structure of FeCuNi3, computed with PBE.

Magnetic moment: 8.68 Bohr magnetons per cell

a b c (Å): 4.0893 4.3871 6.6412
angles (deg): 109.37 90.00 90.00
With the nearest neighbours (Å) after each atom.
Positions (direct):
Ni  0.6834  0.1963  0.9018  3 Fe 2.47-2.51, 6 Ni 2.51-2.54, 3 Cu 2.51
Cu  0.1834  0.4666  0.1033  8 Ni 2.51-2.54, 2 Cu 2.51, 2 Fe 2.54
Fe  0.1834  0.8639  0.8982  10 Ni 2.47-2.54, 2 Cu 2.54
Ni  0.6834  0.5930  0.7034  7 Ni 2.49-2.54, 4 Fe 2.50-2.52, 1 Cu 2.51
Ni  0.6834  0.7966  0.1024  5 Ni 2.50-2.53, 4 Cu 2.51-2.54, 3 Fe 2.52-2.54
Fe  0.6834  0.9965  0.5082  10 Ni 2.47-2.54, 2 Cu 2.54
Ni  0.1834  0.6641  0.5046  3 Fe 2.47-2.51, 6 Ni 2.51-2.54, 3 Cu 2.51
Cu  0.6833  0.3938  0.3031  8 Ni 2.51-2.54, 2 Cu 2.51, 2 Fe 2.54
Ni  0.1834  0.2674  0.7030  7 Ni 2.49-2.54, 4 Fe 2.50-2.52, 1 Cu 2.51
Ni  0.1834  0.0638  0.3039  5 Ni 2.50-2.53, 4 Cu 2.51-2.54, 3 Fe 2.52-2.54

Which of them is the most stable? Correct choice: two.

one.
A relaxed structure of FeCu2Ni5, computed with PBE.

Magnetic moment: 10.89 Bohr magnetons per cell

a b c (Å): 6.1573 6.1573 6.5787
angles (deg): 117.90 117.90 90.00
With the nearest neighbours (Å) after each atom.
Positions (direct):
Fe  0.7500  0.7500  0.5000  10 Ni 2.47-2.49
Ni  0.5000  0.5000  0.0000  4 Cu 2.36, 2 Fe 2.47
Cu  0.6441  0.1441  0.0000  8 Ni 2.36-2.44, 1 Cu 2.51
Ni  0.6849  0.1849  0.6665  4 Ni 2.41-2.58, 3 Cu 2.44, 2 Fe 2.49
Fe  0.2500  0.2500  0.5000  10 Ni 2.47-2.49
Cu  0.3559  0.8559  0.0000  8 Ni 2.36-2.44, 1 Cu 2.51
Ni  0.3151  0.8151  0.3335  4 Ni 2.41-2.58, 3 Cu 2.44, 2 Fe 2.49
Cu  0.8559  0.6441  0.0000  8 Ni 2.36-2.44, 1 Cu 2.51
Ni  0.0000  0.0000  0.0000  4 Cu 2.36, 2 Fe 2.47
Cu  0.1441  0.3559  0.0000  8 Ni 2.36-2.44, 1 Cu 2.51
Ni  0.9816  0.4816  0.6665  4 Ni 2.41-2.58, 3 Cu 2.44, 2 Fe 2.49
Ni  0.4816  0.6849  0.6665  4 Ni 2.41-2.58, 3 Cu 2.44, 2 Fe 2.49
Ni  0.1849  0.9816  0.6665  4 Ni 2.41-2.58, 3 Cu 2.44, 2 Fe 2.49
Ni  0.0184  0.5184  0.3335  4 Ni 2.41-2.58, 3 Cu 2.44, 2 Fe 2.49
Ni  0.5184  0.3151  0.3335  4 Ni 2.41-2.58, 3 Cu 2.44, 2 Fe 2.49
Ni  0.8151  0.0184  0.3335  4 Ni 2.41-2.58, 3 Cu 2.44, 2 Fe 2.49

two.
A relaxed structure of FeCu2Ni5, computed with PBE.

Magnetic moment: 5.70 Bohr magnetons per cell

a b c (Å): 3.5899 3.5899 7.4196
angles (deg): 104.00 104.00 90.00
With the nearest neighbours (Å) after each atom.
Positions (direct):
Ni  0.8779  0.3779  0.7558  2 Fe 2.47, 6 Ni 2.47-2.54, 4 Cu 2.52-2.54
Fe  0.0000  0.0000  0.0000  12 Ni 2.47-2.54
Ni  0.1221  0.6221  0.2442  2 Fe 2.47, 6 Ni 2.47-2.54, 4 Cu 2.52-2.54
Cu  0.2506  0.2506  0.5011  8 Ni 2.52-2.54, 4 Cu 2.54
Ni  0.5000  0.5000  0.0000  8 Ni 2.47, 4 Fe 2.54
Cu  0.7494  0.7494  0.4989  8 Ni 2.52-2.54, 4 Cu 2.54
Ni  0.6221  0.1221  0.2442  6 Ni 2.47-2.54, 2 Fe 2.47, 4 Cu 2.52-2.54
Ni  0.3779  0.8779  0.7558  6 Ni 2.47-2.54, 2 Fe 2.47, 4 Cu 2.52-2.54

Which of them is the most stable? Correct choice: two.

one.
A relaxed structure of Fe6CuNi8, computed with PBE.

Magnetic moment: 20.40 Bohr magnetons per cell

a b c (Å): 2.4979 9.1690 9.1690
angles (deg): 120.00 90.00 90.00
With the nearest neighbours (Å) after each atom.
Positions (direct):
Cu  0.5000  0.0000  0.0000  6 Ni 2.44, 2 Cu 2.50
Ni  0.2255  0.9235  0.2090  3 Fe 2.39-2.46, 1 Cu 2.44, 4 Ni 2.50-2.60
Ni  0.7745  0.0765  0.7910  3 Fe 2.39-2.46, 1 Cu 2.44, 4 Ni 2.50-2.60
Fe  0.7367  0.3739  0.9046  5 Ni 2.38-2.46, 4 Fe 2.40-2.50
Fe  0.7367  0.0954  0.4693  5 Ni 2.38-2.46, 4 Fe 2.40-2.50
Ni  0.7633  0.6667  0.3333  6 Fe 2.38, 2 Ni 2.50
Fe  0.7367  0.5307  0.6261  5 Ni 2.38-2.46, 4 Fe 2.40-2.50
Ni  0.2367  0.3333  0.6667  6 Fe 2.38, 2 Ni 2.50
Ni  0.7745  0.2090  0.2855  3 Fe 2.39-2.46, 1 Cu 2.44, 4 Ni 2.50-2.60
Ni  0.7745  0.7145  0.9235  3 Fe 2.39-2.46, 1 Cu 2.44, 4 Ni 2.50-2.60
Fe  0.2633  0.6261  0.0954  5 Ni 2.38-2.46, 4 Fe 2.40-2.50
Ni  0.2255  0.2855  0.0765  3 Fe 2.39-2.46, 1 Cu 2.44, 4 Ni 2.50-2.60
Ni  0.2255  0.7910  0.7145  3 Fe 2.39-2.46, 1 Cu 2.44, 4 Ni 2.50-2.60
Fe  0.2633  0.4693  0.3739  5 Ni 2.38-2.46, 4 Fe 2.40-2.50
Fe  0.2633  0.9046  0.5307  5 Ni 2.38-2.46, 4 Fe 2.40-2.50

two.
A relaxed structure of Fe6CuNi8, computed with PBE.

Magnetic moment: 22.66 Bohr magnetons per cell

a b c (Å): 5.8921 5.8921 7.1995
angles (deg): 65.85 65.85 60.00
With the nearest neighbours (Å) after each atom.
Positions (direct):
Ni  0.2293  0.4174  0.4145  6 Ni 2.32-2.47, 3 Fe 2.33-2.55
Fe  0.3312  0.6876  0.8037  5 Ni 2.33-2.58, 1 Cu 2.34
Fe  0.3124  0.8224  0.1963  5 Ni 2.33-2.58, 1 Cu 2.34
Ni  0.6988  0.6988  0.9034  6 Fe 2.41-2.58, 3 Ni 2.47
Ni  0.4174  0.9387  0.4145  6 Ni 2.32-2.47, 3 Fe 2.33-2.55
Fe  0.8224  0.6688  0.1963  5 Ni 2.33-2.58, 1 Cu 2.34
Ni  0.7707  0.5826  0.5855  6 Ni 2.32-2.47, 3 Fe 2.33-2.55
Ni  0.5826  0.0613  0.5855  6 Ni 2.32-2.47, 3 Fe 2.33-2.55
Cu  0.0000  0.0000  0.0000  6 Fe 2.34
Fe  0.6876  0.1776  0.8037  5 Ni 2.33-2.58, 1 Cu 2.34
Ni  0.0613  0.7707  0.5855  6 Ni 2.32-2.47, 3 Fe 2.33-2.55
Fe  0.1776  0.3312  0.8037  5 Ni 2.33-2.58, 1 Cu 2.34
Fe  0.6688  0.3124  0.1963  5 Ni 2.33-2.58, 1 Cu 2.34
Ni  0.9387  0.2293  0.4145  6 Ni 2.32-2.47, 3 Fe 2.33-2.55
Ni  0.3011  0.3011  0.0966  6 Fe 2.41-2.58, 3 Ni 2.47

Which of them is the most stable? Correct choice: one.

one.
A relaxed structure of FeCu3Ni, computed with PBE.

Magnetic moment: 3.35 Bohr magnetons per cell

a b c (Å): 4.3273 4.3273 4.3273
angles (deg): 90.00 90.00 90.00
With the nearest neighbours (Å) after each atom.
Positions (direct):
Fe  0.5000  0.5000  0.5000  12 Cu 3.06
Cu  0.0000  0.0000  0.5000  2 Ni 2.16
Cu  0.5000  0.0000  0.0000  2 Ni 2.16
Ni  0.0000  0.0000  0.0000  6 Cu 2.16
Cu  0.0000  0.5000  0.0000  2 Ni 2.16

two.
A relaxed structure of FeCu3Ni, computed with PBE.

Magnetic moment: 3.39 Bohr magnetons per cell

a b c (Å): 4.3513 4.3513 4.3513
angles (deg): 90.00 90.00 90.00
With the nearest neighbours (Å) after each atom.
Positions (direct):
Ni  0.5000  0.5000  0.5000  12 Cu 3.08
Fe  0.0000  0.0000  0.0000  6 Cu 2.18
Cu  0.5000  0.0000  0.0000  2 Fe 2.18
Cu  0.0000  0.5000  0.0000  2 Fe 2.18
Cu  0.0000  0.0000  0.5000  2 Fe 2.18

Which of them is the most stable? Correct choice: one.